Run P
# FeSi2As, optimized geometry, DFT PBE-GGA
# calculated density	5.62	g cm⁻³
# DOS(E_F)	11.38	states/eV/cell
# volume	55	Å³/f.u.
data_FeSi2As
_chemical_formula_sum 'Fe4 Si8 As4'
_cell_length_a 6.0447
_cell_length_b 6.0447
_cell_length_c 6.0447
_cell_angle_alpha 90.00
_cell_angle_beta 90.00
_cell_angle_gamma 90.00
_space_group_name_H-M_alt 'F m -3 m'
_space_group_IT_number 225
_space_group_name_Hall '-F 4 2 3'
loop_
_atom_site_label
_atom_site_type_symbol
_atom_site_fract_x
_atom_site_fract_y
_atom_site_fract_z
Fe1 Fe 0.0000 0.0000 0.0000
Si1 Si 0.2500 0.2500 0.2500
As1 As 0.0000 0.0000 0.5000



Run Q
# FeSi2As, optimized geometry, DFT PBE-GGA
# calculated density	4.96	g cm⁻³
# DOS(E_F)	4.59	states/eV/cell
# volume	63	Å³/f.u.
data_FeSi2As
_chemical_formula_sum 'Fe2 Si4 As2'
_cell_length_a 4.3817
_cell_length_b 10.1764
_cell_length_c 2.8061
_cell_angle_alpha 90.00
_cell_angle_beta 90.00
_cell_angle_gamma 90.00
_space_group_name_H-M_alt 'C m m m'
_space_group_IT_number 65
_space_group_name_Hall '-C 2 2'
loop_
_atom_site_label
_atom_site_type_symbol
_atom_site_fract_x
_atom_site_fract_y
_atom_site_fract_z
Fe1 Fe 0.0000 0.0000 0.0000
Si1 Si 0.0000 0.1885 0.5000
As1 As 0.0000 0.5000 0.0000



The least stable of them is run P.



Run P
# FeSi2As, optimized geometry, DFT PBE-GGA
# calculated density	5.05	g cm⁻³
# DOS(E_F)	8.06	states/eV/cell
# volume	61	Å³/f.u.
data_FeSi2As
_chemical_formula_sum 'Fe3 Si6 As3'
_cell_length_a 2.8007
_cell_length_b 2.8007
_cell_length_c 27.1540
_cell_angle_alpha 90.00
_cell_angle_beta 90.00
_cell_angle_gamma 120.00
_space_group_name_H-M_alt 'R 3 m'
_space_group_IT_number 160
_space_group_name_Hall 'R 3 -2"'
loop_
_atom_site_label
_atom_site_type_symbol
_atom_site_fract_x
_atom_site_fract_y
_atom_site_fract_z
Fe1 Fe 0.0000 0.0000 0.0000
Si1 Si 0.0000 0.0000 0.4791
Si2 Si 0.0000 0.0000 0.7301
As1 As 0.0000 0.0000 0.2670



Run Q
# FeSi2As, optimized geometry, DFT PBE-GGA
# calculated density	5.51	g cm⁻³
# DOS(E_F)	4.13	states/eV/cell
# volume	56	Å³/f.u.
data_FeSi2As
_chemical_formula_sum 'Fe2 Si4 As2'
_cell_length_a 3.2871
_cell_length_b 4.4764
_cell_length_c 7.6510
_cell_angle_alpha 90.00
_cell_angle_beta 90.00
_cell_angle_gamma 90.00
_space_group_name_H-M_alt 'I m m m'
_space_group_IT_number 71
_space_group_name_Hall '-I 2 2'
loop_
_atom_site_label
_atom_site_type_symbol
_atom_site_fract_x
_atom_site_fract_y
_atom_site_fract_z
Fe1 Fe 0.0000 0.0000 0.0000
Si1 Si 0.0000 0.5000 0.2536
As1 As 0.0000 0.0000 0.5000



Run R
# FeSi2As, optimized geometry, DFT PBE-GGA
# calculated density	5.47	g cm⁻³
# DOS(E_F)	7.97	states/eV/cell
# volume	57	Å³/f.u.
data_FeSi2As
_chemical_formula_sum 'Fe3 Si6 As3'
_cell_length_a 2.8505
_cell_length_b 2.8505
_cell_length_c 24.1942
_cell_angle_alpha 90.00
_cell_angle_beta 90.00
_cell_angle_gamma 120.00
_space_group_name_H-M_alt 'R -3 m'
_space_group_IT_number 166
_space_group_name_Hall '-R 3 2"'
loop_
_atom_site_label
_atom_site_type_symbol
_atom_site_fract_x
_atom_site_fract_y
_atom_site_fract_z
Fe1 Fe 0.0000 0.0000 0.0000
Si1 Si 0.0000 0.0000 0.2644
As1 As 0.0000 0.0000 0.5000



The least stable of them is run Q.



Run P
# FeSi2As, optimized geometry, DFT PBE-GGA
# calculated density	5.31	g cm⁻³
# DOS(E_F)	1.65	states/eV/cell
# volume	58	Å³/f.u.
data_FeSi2As
_chemical_formula_sum 'Fe1 Si2 As1'
_cell_length_a 2.8700
_cell_length_b 2.8888
_cell_length_c 7.0568
_cell_angle_alpha 90.00
_cell_angle_beta 92.99
_cell_angle_gamma 90.00
_space_group_name_H-M_alt 'P 1 m 1'
_space_group_IT_number 6
_space_group_name_Hall 'P -2y'
loop_
_atom_site_label
_atom_site_type_symbol
_atom_site_fract_x
_atom_site_fract_y
_atom_site_fract_z
Fe1 Fe 0.0000 0.0000 0.0000
Si1 Si 0.0626 0.0000 0.4025
Si2 Si 0.5220 0.5000 0.1751
As1 As 0.4513 0.5000 0.7794



Run Q
# FeSi2As, optimized geometry, DFT PBE-GGA
# calculated density	5.13	g cm⁻³
# DOS(E_F)	5.13	states/eV/cell
# volume	61	Å³/f.u.
data_FeSi2As
_chemical_formula_sum 'Fe2 Si4 As2'
_cell_length_a 8.1011
_cell_length_b 2.7789
_cell_length_c 5.6902
_cell_angle_alpha 90.00
_cell_angle_beta 108.98
_cell_angle_gamma 90.00
_space_group_name_H-M_alt 'C 1 m 1'
_space_group_IT_number 8
_space_group_name_Hall 'C -2y'
loop_
_atom_site_label
_atom_site_type_symbol
_atom_site_fract_x
_atom_site_fract_y
_atom_site_fract_z
Fe1 Fe 0.0000 0.0000 0.0000
Si1 Si 0.2758 0.0000 0.9896
Si2 Si 0.4368 0.0000 0.6523
As1 As 0.1217 0.5000 0.3703



The least stable of them is run P.